1.
Entry from Alexandria via LeMat-Bulk: crystalline TaAg2As at its relaxed geometry (GGA-PBE).

Results
- SG = I-42d, No. 122
- energy relative to the elements (meV per atom) = 433
- volume (Å³/atom) = 19.0

a b c (Å): 7.6056 7.6056 5.2444
angles (deg): 90.00 90.00 90.00
Last column: nearest neighbours and their distance in Å.
Fractional positions:
Ta 0.0000 0.0000 0.0000  2 As 2.62, 4 Ag 2.89
Ta 0.0000 0.5000 0.2500  2 As 2.62, 4 Ag 2.89
Ta 0.5000 0.0000 0.7500  2 As 2.62, 4 Ag 2.89
Ta 0.5000 0.5000 0.5000  2 As 2.62, 4 Ag 2.89
Ag 0.2280 0.7500 0.6250  2 Ag 2.64, 2 As 2.66, 2 Ta 2.89
Ag 0.2500 0.2280 0.3750  2 Ag 2.64, 2 As 2.66, 2 Ta 2.89
Ag 0.2500 0.2720 0.8750  2 Ag 2.64, 2 As 2.66, 2 Ta 2.89
Ag 0.2720 0.7500 0.1250  2 Ag 2.64, 2 As 2.66, 2 Ta 2.89
Ag 0.7280 0.2500 0.1250  2 Ag 2.64, 2 As 2.66, 2 Ta 2.89
Ag 0.7500 0.7280 0.8750  2 Ag 2.64, 2 As 2.66, 2 Ta 2.89
Ag 0.7500 0.7720 0.3750  2 Ag 2.64, 2 As 2.66, 2 Ta 2.89
Ag 0.7720 0.2500 0.6250  2 Ag 2.64, 2 As 2.66, 2 Ta 2.89
As 0.0000 0.0000 0.5000  2 Ta 2.62, 4 Ag 2.66
As 0.0000 0.5000 0.7500  2 Ta 2.62, 4 Ag 2.66
As 0.5000 0.0000 0.2500  2 Ta 2.62, 4 Ag 2.66
As 0.5000 0.5000 0.0000  2 Ta 2.62, 4 Ag 2.66

***

2.
Entry from Alexandria via LeMat-Bulk: crystalline Ta4Ti2W3 at its relaxed geometry (GGA-PBE).

Results
- SG = P-3m1, No. 164
- energy relative to the elements (meV per atom) = -38
- volume (Å³/atom) = 17.1

a b c (Å): 4.5967 4.5967 8.3954
angles (deg): 90.00 90.00 120.00
Last column: nearest neighbours and their distance in Å.
Fractional positions:
Ta 0.0000 0.0000 0.1681  4 W 2.79-2.82, 3 Ti 2.79, 1 Ta 2.82
Ta 0.0000 0.0000 0.8319  4 W 2.79-2.82, 3 Ti 2.79, 1 Ta 2.82
Ta 0.3333 0.6667 0.6115  4 W 2.79-2.81, 4 Ti 2.83-2.86
Ta 0.6667 0.3333 0.3885  4 W 2.79-2.81, 4 Ti 2.83-2.86
Ti 0.3333 0.6667 0.2711  1 W 2.75, 7 Ta 2.79-2.86
Ti 0.6667 0.3333 0.7289  1 W 2.75, 7 Ta 2.79-2.86
W 0.0000 0.0000 0.5000  8 Ta 2.79-2.81
W 0.3333 0.6667 0.9440  1 Ti 2.75, 4 Ta 2.79-2.82, 3 W 2.82
W 0.6667 0.3333 0.0560  1 Ti 2.75, 4 Ta 2.79-2.82, 3 W 2.82

***

3.
Entry from Alexandria via LeMat-Bulk: crystalline Cd2BiSbO6 at its relaxed geometry (GGA-PBE).

Results
- SG = R3, No. 146
- formation energy (no corrections) (meV/atom) = -1252
- volume (Å³/atom) = 14.3

a b c (Å): 6.0186 6.0186 6.0186
angles (deg): 56.91 56.91 56.91
Last column: nearest neighbours and their distance in Å.
Fractional positions:
Cd 0.0000 0.0000 0.0000  3 O 2.27
Cd 0.4886 0.4886 0.4886  6 O 2.26-2.48
Bi 0.2699 0.2699 0.2699  6 O 2.29-2.49
Sb 0.7810 0.7810 0.7810  6 O 2.02-2.06
O 0.0324 0.4298 0.6770  1 Sb 2.02
O 0.1377 0.8813 0.5850  1 Sb 2.06, 1 Cd 2.26, 1 Bi 2.29
O 0.4298 0.6770 0.0324  1 Sb 2.02
O 0.5850 0.1377 0.8813  1 Sb 2.06, 1 Cd 2.26, 1 Bi 2.29
O 0.6770 0.0324 0.4298  1 Sb 2.02
O 0.8813 0.5850 0.1377  1 Sb 2.06, 1 Cd 2.26, 1 Bi 2.29

***

4.
Entry from Alexandria via LeMat-Bulk: crystalline CrCu2Rh at its relaxed geometry (GGA-PBE).

Results
- SG = Pmmm, No. 47
- energy relative to the elements (meV per atom) = 190
- volume (Å³/atom) = 13.1

a b c (Å): 2.7672 3.7764 5.0161
angles (deg): 90.00 90.00 90.00
Last column: nearest neighbours and their distance in Å.
Fractional positions:
Cr 0.0000 0.0000 0.0000  2 Rh 2.51, 8 Cu 2.65, 2 Cr 2.77
Cu 0.5000 0.5000 0.2479  4 Cu 2.49-2.77, 4 Cr 2.65, 4 Rh 2.66
Cu 0.5000 0.5000 0.7521  4 Cu 2.49-2.77, 4 Cr 2.65, 4 Rh 2.66
Rh 0.0000 0.0000 0.5000  2 Cr 2.51, 8 Cu 2.66, 2 Rh 2.77

***

5.
Entry from Alexandria via LeMat-Bulk: crystalline HfSc2TcO at its relaxed geometry (GGA-PBE).

Results
- SG = P4/mmm, No. 123
- formation energy (no corrections) (meV/atom) = -1176
- volume (Å³/atom) = 16.4

a b c (Å): 4.2527 4.2527 4.5323
angles (deg): 90.00 90.00 90.00
Last column: nearest neighbours and their distance in Å.
Fractional positions:
Hf 0.0000 0.0000 0.0000  2 O 2.27
Sc 0.0000 0.5000 0.5000  2 O 2.13
Sc 0.5000 0.0000 0.5000  2 O 2.13
Tc 0.5000 0.5000 0.0000  4 Hf 3.01, 8 Sc 3.11
O 0.0000 0.0000 0.5000  4 Sc 2.13, 2 Hf 2.27

***

6.
Entry from Alexandria via LeMat-Bulk: crystalline USiSnO6 at its relaxed geometry (GGA-PBE).

Results
- SG = P312, No. 149
- formation energy (no corrections) (meV/atom) = -2367
- volume (Å³/atom) = 14.1

a b c (Å): 5.2673 5.2673 5.2829
angles (deg): 90.00 90.00 120.00
Last column: nearest neighbours and their distance in Å.
Fractional positions:
U 0.0000 0.0000 0.0000  6 O 2.10
Si 0.3333 0.6667 0.0000  6 O 1.82
Sn 0.6667 0.3333 0.5000  6 O 2.54
O 0.0582 0.3722 0.1959  1 Si 1.82
O 0.0582 0.6859 0.8041  1 Si 1.82
O 0.3141 0.3722 0.8041  1 Si 1.82
O 0.3141 0.9418 0.1959  1 Si 1.82
O 0.6278 0.6859 0.1959  1 Si 1.82
O 0.6278 0.9418 0.8041  1 Si 1.82

***

Number 1: E -5.118 eV per atom. Number 2: E -11.378 eV per atom. Number 3: E -5.211 eV per atom. Number 4: E -6.101 eV per atom. Number 5: E -8.764 eV per atom. Number 6: E -7.974 eV per atom.